[1]
Here is Tm5Cd4Ga after structural relaxation from the Alexandria database. Energies are from GGA-PBE.

a b c (Å): 3.6569 3.6569 18.3423
angles (deg): 90.00 90.00 90.00
Closest atoms and distances in Å follow each position.
Sites, in units of the cell vectors:
1 Tm 0.0000 0.0000 0.0000  8 Cd 3.19
2 Tm 0.0000 0.0000 0.2042  8 Cd 3.18-3.19
3 Tm 0.0000 0.0000 0.4079  4 Ga 3.09, 4 Cd 3.20, 1 Tm 3.38
4 Tm 0.0000 0.0000 0.5921  4 Ga 3.09, 4 Cd 3.20, 1 Tm 3.38
5 Tm 0.0000 0.0000 0.7958  8 Cd 3.18-3.19
6 Cd 0.5000 0.5000 0.1023  8 Tm 3.19
7 Cd 0.5000 0.5000 0.3049  8 Tm 3.18-3.20
8 Cd 0.5000 0.5000 0.6951  8 Tm 3.18-3.20
9 Cd 0.5000 0.5000 0.8977  8 Tm 3.19
10 Ga 0.5000 0.5000 0.5000  8 Tm 3.09

Summary:
The calculation puts the calculated density at 9.2 Mg/m³. As for the volume: 24.5 Å³ per atom. The value obtained for the formation energy is -0.36 eV per atom. The value obtained for the density of states at the Fermi level is 7.60 states/eV per cell. The total energy comes out at -32.7 eV per cell.

[2]
Here is Sm4YIn2 after structural relaxation from the Alexandria database. Energies are from GGA-PBE.

a b c (Å): 5.4238 12.4558 6.4408
angles (deg): 90.00 90.01 90.00
Closest atoms and distances in Å follow each position.
Sites, in units of the cell vectors:
1 Sm 0.0014 0.1709 0.1526  3 In 3.13-3.27
2 Sm 0.0014 0.3291 0.6526  3 In 3.13-3.27
3 Sm 0.4983 0.6590 0.9985  2 In 3.19, 2 Sm 3.52-3.53
4 Sm 0.4983 0.8410 0.4985  2 In 3.19, 2 Sm 3.52-3.53
5 Sm 0.5017 0.1590 0.5015  2 In 3.19, 2 Sm 3.52-3.53
6 Sm 0.5017 0.3410 0.0015  2 In 3.19, 2 Sm 3.52-3.53
7 Sm 0.9986 0.6709 0.3474  3 In 3.13-3.27
8 Sm 0.9986 0.8291 0.8474  3 In 3.13-3.27
9 Y 0.5000 0.0000 0.0000  4 In 3.45-3.47, 8 Sm 3.58-3.79
10 Y 0.5000 0.5000 0.5000  4 In 3.45-3.47, 8 Sm 3.58-3.79
11 In 0.0018 0.0675 0.6932  1 In 3.00, 5 Sm 3.13-3.27
12 In 0.0018 0.4325 0.1932  1 In 3.00, 5 Sm 3.13-3.27
13 In 0.9982 0.5675 0.8068  1 In 3.00, 5 Sm 3.13-3.27
14 In 0.9982 0.9325 0.3068  1 In 3.00, 5 Sm 3.13-3.27

Summary:
The calculation puts the calculated density at 7.0 Mg/m³. As for the volume: 31.1 Å³ per atom. The value obtained for the formation energy is -0.23 eV per atom. The value obtained for the density of states at the Fermi level is 18.75 states/eV per cell. The total energy comes out at -64.9 eV per cell.

[3]
Here is Pa2CoSi3Ni12 after structural relaxation from the Alexandria database. Energies are from GGA-PBE.

a b c (Å): 6.2541 6.2541 6.2541
angles (deg): 83.23 83.23 83.23
Closest atoms and distances in Å follow each position.
Sites, in units of the cell vectors:
1 Pa 0.1672 0.1672 0.1672  6 Ni 2.46-2.65
2 Pa 0.8328 0.8328 0.8328  6 Ni 2.46-2.65
3 Co 0.5000 0.5000 0.5000  6 Ni 2.39
4 Si 0.0000 0.5000 0.5000  6 Ni 2.37-2.47
5 Si 0.5000 0.0000 0.5000  6 Ni 2.37-2.47
6 Si 0.5000 0.5000 0.0000  6 Ni 2.37-2.47
7 Ni 0.1126 0.1126 0.5966  4 Ni 2.36-2.62, 2 Si 2.47
8 Ni 0.1126 0.5966 0.1126  4 Ni 2.36-2.62, 2 Si 2.47
9 Ni 0.2012 0.6947 0.6947  5 Ni 2.36-2.62, 1 Si 2.37, 1 Co 2.39, 1 Pa 2.46
10 Ni 0.3053 0.3053 0.7988  5 Ni 2.36-2.62, 1 Si 2.37, 1 Co 2.39, 1 Pa 2.46
11 Ni 0.3053 0.7988 0.3053  5 Ni 2.36-2.62, 1 Si 2.37, 1 Co 2.39, 1 Pa 2.46
12 Ni 0.4034 0.8874 0.8874  4 Ni 2.36-2.62, 2 Si 2.47
13 Ni 0.5966 0.1126 0.1126  4 Ni 2.36-2.62, 2 Si 2.47
14 Ni 0.6947 0.2012 0.6947  5 Ni 2.36-2.62, 1 Si 2.37, 1 Co 2.39, 1 Pa 2.46
15 Ni 0.6947 0.6947 0.2012  5 Ni 2.36-2.62, 1 Si 2.37, 1 Co 2.39, 1 Pa 2.46
16 Ni 0.7988 0.3053 0.3053  5 Ni 2.36-2.62, 1 Si 2.37, 1 Co 2.39, 1 Pa 2.46
17 Ni 0.8874 0.4034 0.8874  4 Ni 2.36-2.62, 2 Si 2.47
18 Ni 0.8874 0.8874 0.4034  4 Ni 2.36-2.62, 2 Si 2.47

Summary:
The calculation puts the calculated density at 9.1 Mg/m³. As for the volume: 13.3 Å³ per atom. The value obtained for the density of states at the Fermi level is 11.22 states/eV per cell. The total energy comes out at -114.8 eV per cell.

[4]
Here is Hf6BPb2 after structural relaxation from the Alexandria database. Energies are from GGA-PBE.

a b c (Å): 5.8247 7.0846 10.9600
angles (deg): 90.00 121.40 90.00
Closest atoms and distances in Å follow each position.
Sites, in units of the cell vectors:
1 Hf 0.1212 0.0253 0.2474  1 B 2.43
2 Hf 0.1212 0.4747 0.7474  1 B 2.43
3 Hf 0.1684 0.6884 0.0271  1 B 2.37
4 Hf 0.1684 0.8116 0.5271  1 B 2.37
5 Hf 0.3754 0.1906 0.0273  1 B 2.45
6 Hf 0.3754 0.3094 0.5273  1 B 2.45
7 Hf 0.6246 0.6906 0.4727  1 B 2.45
8 Hf 0.6246 0.8094 0.9727  1 B 2.45
9 Hf 0.8316 0.1884 0.4729  1 B 2.37
10 Hf 0.8316 0.3116 0.9729  1 B 2.37
11 Hf 0.8788 0.5253 0.2526  1 B 2.43
12 Hf 0.8788 0.9747 0.7526  1 B 2.43
13 B 0.0000 0.0000 0.0000  6 Hf 2.37-2.45
14 B 0.0000 0.5000 0.5000  6 Hf 2.37-2.45
15 Pb 0.3595 0.0996 0.7524  9 Hf 2.92-3.15
16 Pb 0.3595 0.4004 0.2524  9 Hf 2.92-3.15
17 Pb 0.6405 0.5996 0.7476  9 Hf 2.92-3.15
18 Pb 0.6405 0.9004 0.2476  9 Hf 2.92-3.15

Summary:
The calculation puts the calculated density at 12.9 Mg/m³. As for the volume: 21.4 Å³ per atom. The value obtained for the formation energy is -0.07 eV per atom. The value obtained for the density of states at the Fermi level is 12.04 states/eV per cell. The total energy comes out at -148.8 eV per cell.